Computed, not measured: a relaxed structure of SmCr2SiO6 at the GGA+U level of DFT.

```
data_SmCr2SiO6
_chemical_formula_sum 'Sm1 Cr2 Si1 O6'
_symmetry_space_group_name_H-M 'P 1'
_symmetry_Int_Tables_number 1
_symmetry_space_group_name_Hall 'P 1'
_cell_length_a 5.1493
_cell_length_b 5.2145
_cell_length_c 5.8016
_cell_angle_alpha 60.53
_cell_angle_beta 63.33
_cell_angle_gamma 60.08
loop_
_atom_site_label
_atom_site_type_symbol
_atom_site_fract_x
_atom_site_fract_y
_atom_site_fract_z
O1 O 0.3602 0.7060 0.7973
O2 O 0.5801 0.2116 0.2149
O3 O 0.1567 0.3737 0.7746
O4 O 0.7026 0.1641 0.7706
O5 O 0.2370 0.9623 0.2162
O6 O 0.9678 0.5685 0.2132
Cr1 Cr 0.5358 0.5288 0.4234
Cr2 Cr 0.0077 0.0046 0.9782
Sm1 Sm 0.7916 0.8161 0.5997
Si1 Si 0.3222 0.3259 0.0272
```

Properties
spin magnetization	0.70	μB/atom
calculated total energy	-78.6	eV/f.u.